Record 1
Density functional theory data (PBE) for an optimized crystal structure of EuDy2H.

## Properties
As for the space-group type: R-3m. The final energy comes out at -22.97 eV/f.u.

Cell: 9.782 9.782 9.782 Å, 20.89 20.89 20.89°
Atoms (fractional coordinates):
1 Eu 0.000 0.000 0.000
2 Dy 0.120 0.120 0.120
3 Dy 0.880 0.880 0.880
4 H 0.500 0.500 0.500

Record 2
Density functional theory data (PBE) for an optimized crystal structure of EuDyH.

## Properties
As for the space-group type: P3m1. The final energy comes out at -18.77 eV/f.u.

Cell: 3.661 3.661 5.926 Å, 90.00 90.00 120.00°
Atoms (fractional coordinates):
1 Eu 0.000 0.000 0.000
2 Dy 0.667 0.333 0.517
3 H 0.333 0.667 0.733

Record 3
Density functional theory data (PBE) for an optimized crystal structure of Eu2DyHf.

## Properties
As for the space-group type: R-3m. The energy of formation is 0.47 eV per atom.

Cell: 12.608 12.608 12.608 Å, 15.43 15.43 15.43°
Atoms (fractional coordinates):
1 Eu 0.084 0.084 0.084
2 Eu 0.916 0.916 0.916
3 Dy 0.500 0.500 0.500
4 Hf 0.000 0.000 0.000

Record 4
Density functional theory data (PBE) for an optimized crystal structure of EuDy2Hg.

## Properties
As for the space-group type: Fm-3m. The calculation puts the offset from the most stable computed form at 127 meV/atom. The energy of formation is -0.04 eV per atom.

Cell: 5.452 5.452 5.452 Å, 60.00 60.00 60.00°
Atoms (fractional coordinates):
1 Eu 0.000 0.000 0.000
2 Dy 0.250 0.250 0.250
3 Dy 0.750 0.750 0.750
4 Hg 0.500 0.500 0.500